Record 1
DFT (PBE-GGA) results for an optimized crystal structure of Li6InAu12.

a b c (Å): 12.0009 12.0009 8.3952
angles (deg): 90.00 90.00 120.00
With the nearest neighbours (Å) after each atom.
Space group R-3 (No. 148, hexagonal axes)
One atom of each set of equivalent atoms:
Li (0.0490, 0.8267, 0.2473)  9 Au 2.74-2.95
In (0.0000, 0.0000, 0.5000)  6 Au 2.75
Au (0.0532, 0.8089, 0.5787)  1 In 2.75, 5 Au 2.77-2.98, 5 Li 2.79-2.95
Au (0.0598, 0.8295, 0.9213)  4 Li 2.74-2.91, 6 Au 2.77-2.92

Properties
Fermi-level density of states: 15.86 states/eV/cell
M_tot: 0.000 μB per atom
ΔH_f (0 K): -33 kJ per mole of atoms

Record 2
DFT (PBE-GGA) results for an optimized crystal structure of Li2InAu9.

a b c (Å): 4.1127 4.1127 12.4848
angles (deg): 90.00 90.00 90.00
With the nearest neighbours (Å) after each atom.
Space group P4/mmm (No. 123)
One atom of each set of equivalent atoms:
Li (0.0000, 0.0000, 0.1608)  12 Au 2.87-2.91
In (0.0000, 0.0000, 0.5000)  12 Au 2.91-3.03
Au (0.0000, 0.5000, 0.0000)  8 Au 2.87-2.91, 4 Li 2.87
Au (0.0000, 0.5000, 0.3219)  2 Li 2.88, 8 Au 2.88-3.03, 2 In 3.03
Au (0.5000, 0.5000, 0.1605)  8 Au 2.87-2.88, 4 Li 2.91
Au (0.5000, 0.5000, 0.5000)  4 In 2.91, 8 Au 3.03

Properties
Fermi-level density of states: 2.47 states/eV/cell
M_tot: 0.000 μB per atom
ΔH_f (0 K): -26 kJ per mole of atoms

Record 3
DFT (PBE-GGA) results for an optimized crystal structure of Li2InAu.

a b c (Å): 6.2047 6.2973 3.4486
angles (deg): 90.00 90.00 90.00
With the nearest neighbours (Å) after each atom.
Space group Cmmm (No. 65)
One atom of each set of equivalent atoms:
Li (0.2500, 0.2500, 0.0000)  4 In 2.80, 4 Au 2.80, 2 Li 3.10
In (0.0000, 0.0000, 0.5000)  8 Li 2.80, 2 Au 3.10
Au (0.0000, 0.5000, 0.5000)  8 Li 2.80, 2 In 3.10

Properties
Fermi-level density of states: 1.53 states/eV/cell
M_tot: 0.000 μB per atom
ΔH_f (0 K): -41 kJ per mole of atoms

Record 4
DFT (PBE-GGA) results for an optimized crystal structure of LiInAu2.

a b c (Å): 6.6198 6.6198 6.6198
angles (deg): 90.00 90.00 90.00
With the nearest neighbours (Å) after each atom.
Space group F-43m (No. 216)
One atom of each set of equivalent atoms:
Li (0.0000, 0.0000, 0.0000)  4 In 2.87, 4 Au 2.87
In (0.2500, 0.2500, 0.7500)  4 Li 2.87, 4 Au 2.87
Au (0.0000, 0.0000, 0.5000)  4 Au 2.87, 4 In 2.87
Au (0.2500, 0.2500, 0.2500)  4 Li 2.87, 4 Au 2.87

Properties
Fermi-level density of states: 6.68 states/eV/cell
M_tot: 0.000 μB per atom
ΔH_f (0 K): -33 kJ per mole of atoms

Record 5
DFT (PBE-GGA) results for an optimized crystal structure of LiInAu.

a b c (Å): 3.7470 3.6816 4.5515
angles (deg): 90.00 90.35 90.00
With the nearest neighbours (Å) after each atom.
Space group P2/m (No. 10)
One atom of each set of equivalent atoms:
Li (0.0000, 0.0000, 0.0000)  4 Au 2.63, 2 In 2.94
In (0.5000, 0.0000, 0.5000)  4 Au 2.93, 4 Li 2.94-2.96
Au (0.5000, 0.5000, 0.0000)  4 Li 2.63, 4 In 2.93

Properties
Fermi-level density of states: 1.21 states/eV/cell
M_tot: 0.000 μB per atom
ΔH_f (0 K): -27 kJ per mole of atoms

Record 6
DFT (PBE-GGA) results for an optimized crystal structure of LiInAu.

a b c (Å): 6.4420 6.4420 6.4420
angles (deg): 90.00 90.00 90.00
With the nearest neighbours (Å) after each atom.
Space group F-43m (No. 216)
One atom of each set of equivalent atoms:
Li (0.0000, 0.0000, 0.0000)  4 Au 2.79
In (0.0000, 0.0000, 0.5000)  4 Au 2.79
Au (0.2500, 0.2500, 0.7500)  4 In 2.79, 4 Li 2.79

Properties
Fermi-level density of states: 8.72 states/eV/cell
M_tot: 0.000 μB per atom
ΔH_f (0 K): -33 kJ per mole of atoms

Record 7
DFT (PBE-GGA) results for an optimized crystal structure of Li4InAu.

a b c (Å): 2.8771 4.5504 7.7265
angles (deg): 90.00 90.63 90.00
With the nearest neighbours (Å) after each atom.
Space group P2/m (No. 10)
One atom of each set of equivalent atoms:
Li (0.0544, 0.0000, 0.3184)  5 Li 2.63-2.88, 2 Au 2.79-2.92
Li (0.0966, 0.5000, 0.8431)  3 Li 2.49-2.63
In (0.5000, 0.5000, 0.5000)  2 In 2.88, 12 Li 2.91-3.14
Au (0.5000, 0.0000, 0.0000)  12 Li 2.79-3.10, 2 Au 2.88

Properties
Fermi-level density of states: 1.45 states/eV/cell
M_tot: 0.000 μB per atom
ΔH_f (0 K): -33 kJ per mole of atoms
Relative energy among the computed polymorphs: 0.0 meV per atom

Record 8
DFT (PBE-GGA) results for an optimized crystal structure of LiIn2Au7.

a b c (Å): 7.5797 16.6890 3.4011
angles (deg): 90.00 90.00 90.00
With the nearest neighbours (Å) after each atom.
Space group Cmmm (No. 65)
One atom of each set of equivalent atoms:
Li (0.0000, 0.0000, 0.0000)  8 Au 2.65
In (0.0000, 0.3251, 0.5000)  5 Au 2.74-2.92
Au (0.0000, 0.1965, 0.0000)  2 In 2.74, 4 Au 2.88
Au (0.0000, 0.5000, 0.5000)  4 Au 2.77, 2 In 2.92
Au (0.1886, 0.0871, 0.5000)  2 Li 2.65, 5 Au 2.77-2.91, 1 In 2.78

Properties
Fermi-level density of states: 6.59 states/eV/cell
M_tot: 0.000 μB per atom
ΔH_f (0 K): -10 kJ per mole of atoms